Entry from Alexandria: Cd12PdAu6 after structural relaxation (PBE).

The value obtained for the total moment is 0.000 μB/atom. The value obtained for the offset from the most stable computed form is 0.0 kJ per mole of atoms. For the formation energy, the calculation gives -0.158 eV per atom. The crystal system is trigonal. Its density of states at the Fermi level is 6.5 states/eV/f.u. The value obtained for the total energy is -2.044 eV per atom.

a = 10.2715 Å, b = 10.2715 Å, c = 12.6523 Å
α = 90.00°, β = 90.00°, γ = 120.00°
Space group R-3 (No. 148, hexagonal axes)
Symmetry-distinct sites (fractional):
Cd  0.0338  0.1848  0.3214
Cd  0.0580  0.8483  0.9088
Pd  0.0000  0.0000  0.5000
Au  0.0207  0.4281  0.2083